Material: NiBRu3
Method: DFT, PBE-GGA
State: relaxed

Calculated values
- Total moment: 1.066 μB/atom
- Formation energy from the elements: 2240 meV/atom

```
data_NiBRu3
_chemical_formula_sum 'Ni1 B1 Ru3'
_cell_length_a 4.409
_cell_length_b 4.409
_cell_length_c 4.409
_cell_angle_alpha 90.00
_cell_angle_beta 90.00
_cell_angle_gamma 90.00
_symmetry_space_group_name_H-M 'P m -3 m'
_symmetry_Int_Tables_number 221
_symmetry_space_group_name_Hall '-P 4 2 3'
loop_
_atom_site_label
_atom_site_type_symbol
_atom_site_fract_x
_atom_site_fract_y
_atom_site_fract_z
Ni1 Ni 0.000 0.000 0.000
B1 B 0.500 0.500 0.500
Ru1 Ru 0.000 0.000 0.500
```

***

Material: Ni2B2Ru
Method: DFT, PBE-GGA
State: relaxed

Calculated values
- Total moment: 0.000 μB/atom
- Formation energy from the elements: -55 meV/atom

```
data_Ni2B2Ru
_chemical_formula_sum 'Ni4 B4 Ru2'
_cell_length_a 5.824
_cell_length_b 5.824
_cell_length_c 2.736
_cell_angle_alpha 90.00
_cell_angle_beta 90.00
_cell_angle_gamma 90.00
_symmetry_space_group_name_H-M 'P 4/m b m'
_symmetry_Int_Tables_number 127
_symmetry_space_group_name_Hall '-P 4 2ab'
loop_
_atom_site_label
_atom_site_type_symbol
_atom_site_fract_x
_atom_site_fract_y
_atom_site_fract_z
Ni1 Ni 0.157 0.343 0.000
B1 B 0.126 0.626 0.500
Ru1 Ru 0.000 0.000 0.500
```

***

Material: NiB2Ru
Method: DFT, PBE-GGA
State: relaxed

Calculated values
- Total moment: 0.000 μB/atom
- Formation energy from the elements: -51 meV/atom

```
data_NiB2Ru
_chemical_formula_sum 'Ni3 B6 Ru3'
_cell_length_a 3.1185
_cell_length_b 3.1185
_cell_length_c 13.8369
_cell_angle_alpha 90.00
_cell_angle_beta 90.00
_cell_angle_gamma 120.00
_symmetry_space_group_name_H-M 'R 3 m'
_symmetry_Int_Tables_number 160
_symmetry_space_group_name_Hall 'R 3 -2"'
loop_
_atom_site_label
_atom_site_type_symbol
_atom_site_fract_x
_atom_site_fract_y
_atom_site_fract_z
Ni1 Ni 0.0000 0.0000 0.0000
B1 B 0.0000 0.0000 0.2548
B2 B 0.0000 0.0000 0.3944
Ru1 Ru 0.0000 0.0000 0.8175
```

***

Material: Ni21B6Ru2
Method: DFT, PBE-GGA
State: relaxed

Calculated values
- Total moment: 0.229 μB/atom
- Formation energy from the elements: -162 meV/atom

```
data_Ni21B6Ru2
_chemical_formula_sum 'Ni84 B24 Ru8'
_cell_length_a 10.500
_cell_length_b 10.500
_cell_length_c 10.500
_cell_angle_alpha 90.00
_cell_angle_beta 90.00
_cell_angle_gamma 90.00
_symmetry_space_group_name_H-M 'F m -3 m'
_symmetry_Int_Tables_number 225
_symmetry_space_group_name_Hall '-F 4 2 3'
loop_
_atom_site_label
_atom_site_type_symbol
_atom_site_fract_x
_atom_site_fract_y
_atom_site_fract_z
Ni1 Ni 0.000 0.000 0.000
Ni2 Ni 0.000 0.170 0.170
Ni3 Ni 0.117 0.117 0.383
B1 B 0.000 0.000 0.270
Ru1 Ru 0.250 0.250 0.250
```

***

Material: NiB2Ru2
Method: DFT, PBE-GGA
State: relaxed

Calculated values
- Total moment: 0.000 μB/atom
- Formation energy from the elements: 140 meV/atom

```
data_NiB2Ru2
_chemical_formula_sum 'Ni2 B4 Ru4'
_cell_length_a 4.188
_cell_length_b 4.188
_cell_length_c 6.071
_cell_angle_alpha 90.00
_cell_angle_beta 90.00
_cell_angle_gamma 90.00
_symmetry_space_group_name_H-M 'I 4/m m m'
_symmetry_Int_Tables_number 139
_symmetry_space_group_name_Hall '-I 4 2'
loop_
_atom_site_label
_atom_site_type_symbol
_atom_site_fract_x
_atom_site_fract_y
_atom_site_fract_z
Ni1 Ni 0.000 0.000 0.000
B1 B 0.000 0.000 0.351
Ru1 Ru 0.000 0.500 0.250
```

***

Material: NiBRu3
Method: DFT, PBE-GGA
State: relaxed

Calculated values
- Total moment: 0.000 μB/atom
- Formation energy from the elements: 331 meV/atom

```
data_NiBRu3
_chemical_formula_sum 'Ni1 B1 Ru3'
_cell_length_a 4.015
_cell_length_b 4.015
_cell_length_c 4.015
_cell_angle_alpha 90.00
_cell_angle_beta 90.00
_cell_angle_gamma 90.00
_symmetry_space_group_name_H-M 'P m -3 m'
_symmetry_Int_Tables_number 221
_symmetry_space_group_name_Hall '-P 4 2 3'
loop_
_atom_site_label
_atom_site_type_symbol
_atom_site_fract_x
_atom_site_fract_y
_atom_site_fract_z
Ni1 Ni 0.000 0.000 0.000
B1 B 0.500 0.500 0.500
Ru1 Ru 0.000 0.500 0.500
```

***

Material: NiB2Ru
Method: DFT, PBE-GGA
State: relaxed

Calculated values
- Total moment: 0.000 μB/atom
- Formation energy from the elements: 92 meV/atom

```
data_NiB2Ru
_chemical_formula_sum 'Ni4 B8 Ru4'
_cell_length_a 5.242
_cell_length_b 5.242
_cell_length_c 5.242
_cell_angle_alpha 90.00
_cell_angle_beta 90.00
_cell_angle_gamma 90.00
_symmetry_space_group_name_H-M 'F m -3 m'
_symmetry_Int_Tables_number 225
_symmetry_space_group_name_Hall '-F 4 2 3'
loop_
_atom_site_label
_atom_site_type_symbol
_atom_site_fract_x
_atom_site_fract_y
_atom_site_fract_z
Ni1 Ni 0.000 0.000 0.000
B1 B 0.250 0.250 0.250
Ru1 Ru 0.000 0.000 0.500
```

***

Material: NiB2Ru2
Method: DFT, PBE-GGA
State: relaxed

Calculated values
- Total moment: 0.000 μB/atom
- Formation energy from the elements: -215 meV/atom

```
data_NiB2Ru2
_chemical_formula_sum 'Ni2 B4 Ru4'
_cell_length_a 5.409
_cell_length_b 5.409
_cell_length_c 3.377
_cell_angle_alpha 90.00
_cell_angle_beta 90.00
_cell_angle_gamma 90.00
_symmetry_space_group_name_H-M 'P 4/m b m'
_symmetry_Int_Tables_number 127
_symmetry_space_group_name_Hall '-P 4 2ab'
loop_
_atom_site_label
_atom_site_type_symbol
_atom_site_fract_x
_atom_site_fract_y
_atom_site_fract_z
Ni1 Ni 0.000 0.000 0.000
B1 B 0.121 0.379 0.000
Ru1 Ru 0.175 0.675 0.500
```

***

Material: NiB3Ru
Method: DFT, PBE-GGA
State: relaxed

Calculated values
- Total moment: 0.000 μB/atom
- Formation energy from the elements: 1192 meV/atom

```
data_NiB3Ru
_chemical_formula_sum 'Ni1 B3 Ru1'
_cell_length_a 3.979
_cell_length_b 3.979
_cell_length_c 3.979
_cell_angle_alpha 90.00
_cell_angle_beta 90.00
_cell_angle_gamma 90.00
_symmetry_space_group_name_H-M 'P m -3 m'
_symmetry_Int_Tables_number 221
_symmetry_space_group_name_Hall '-P 4 2 3'
loop_
_atom_site_label
_atom_site_type_symbol
_atom_site_fract_x
_atom_site_fract_y
_atom_site_fract_z
Ni1 Ni 0.000 0.000 0.000
B1 B 0.000 0.500 0.500
Ru1 Ru 0.500 0.500 0.500
```

***

Material: NiB2Ru
Method: DFT, PBE-GGA
State: relaxed

Calculated values
- Total moment: 0.000 μB/atom
- Formation energy from the elements: 436 meV/atom

```
data_NiB2Ru
_chemical_formula_sum 'Ni4 B8 Ru4'
_cell_length_a 4.546
_cell_length_b 4.546
_cell_length_c 9.209
_cell_angle_alpha 90.00
_cell_angle_beta 90.00
_cell_angle_gamma 90.00
_symmetry_space_group_name_H-M 'I -4 2 d'
_symmetry_Int_Tables_number 122
_symmetry_space_group_name_Hall 'I -4 2bw'
loop_
_atom_site_label
_atom_site_type_symbol
_atom_site_fract_x
_atom_site_fract_y
_atom_site_fract_z
Ni1 Ni 0.000 0.000 0.000
B1 B 0.240 0.250 0.125
Ru1 Ru 0.000 0.000 0.500
```

***

Material: NiB3Ru
Method: DFT, PBE-GGA
State: relaxed

Calculated values
- Total moment: 0.000 μB/atom
- Formation energy from the elements: 1114 meV/atom

```
data_NiB3Ru
_chemical_formula_sum 'Ni1 B3 Ru1'
_cell_length_a 3.691
_cell_length_b 3.691
_cell_length_c 3.691
_cell_angle_alpha 90.00
_cell_angle_beta 90.00
_cell_angle_gamma 90.00
_symmetry_space_group_name_H-M 'P m -3 m'
_symmetry_Int_Tables_number 221
_symmetry_space_group_name_Hall '-P 4 2 3'
loop_
_atom_site_label
_atom_site_type_symbol
_atom_site_fract_x
_atom_site_fract_y
_atom_site_fract_z
Ni1 Ni 0.000 0.000 0.000
B1 B 0.000 0.000 0.500
Ru1 Ru 0.500 0.500 0.500
```

***

Material: Ni2BRuS
Method: DFT, PBE-GGA
State: relaxed

Calculated values
- Uncorrected formation energy: 0.32 eV/atom
- Total moment: 0.188 μB/atom

```
data_Ni2BRuS
_chemical_formula_sum 'Ni2 B1 Ru1 S1'
_cell_length_a 3.797
_cell_length_b 3.797
_cell_length_c 4.098
_cell_angle_alpha 90.00
_cell_angle_beta 90.00
_cell_angle_gamma 90.00
_symmetry_space_group_name_H-M 'P 4/m m m'
_symmetry_Int_Tables_number 123
_symmetry_space_group_name_Hall '-P 4 2'
loop_
_atom_site_label
_atom_site_type_symbol
_atom_site_fract_x
_atom_site_fract_y
_atom_site_fract_z
Ni1 Ni 0.000 0.500 0.000
B1 B 0.000 0.000 0.000
Ru1 Ru 0.000 0.000 0.500
S1 S 0.500 0.500 0.500
```

***

Material: NiBSbRu2
Method: DFT, PBE-GGA
State: relaxed

Calculated values
- Uncorrected formation energy: -0.02 eV/atom
- Total moment: 0.000 μB/atom

```
data_NiBSbRu2
_chemical_formula_sum 'Ni1 B1 Sb1 Ru2'
_cell_length_a 4.179
_cell_length_b 4.179
_cell_length_c 3.872
_cell_angle_alpha 90.00
_cell_angle_beta 90.00
_cell_angle_gamma 90.00
_symmetry_space_group_name_H-M 'P 4/m m m'
_symmetry_Int_Tables_number 123
_symmetry_space_group_name_Hall '-P 4 2'
loop_
_atom_site_label
_atom_site_type_symbol
_atom_site_fract_x
_atom_site_fract_y
_atom_site_fract_z
Ni1 Ni 0.000 0.000 0.000
B1 B 0.000 0.000 0.500
Sb1 Sb 0.500 0.500 0.000
Ru1 Ru 0.000 0.500 0.500
```

***

Number 1: DOS(E_F) 0.970 states/eV per atom. Number 2: DOS(E_F) 0.645 states/eV per atom. Number 3: DOS(E_F) 0.601 states/eV per atom. Number 4: DOS(E_F) 1.025 states/eV per atom. Number 5: DOS(E_F) 0.985 states/eV per atom. Number 6: DOS(E_F) 1.586 states/eV per atom. Number 7: DOS(E_F) 0.625 states/eV per atom. Number 8: DOS(E_F) 0.468 states/eV per atom. Number 9: DOS(E_F) 0.516 states/eV per atom. Number 10: DOS(E_F) 0.000 states/eV per atom. Number 11: DOS(E_F) 0.934 states/eV per atom. Number 12: DOS(E_F) 1.131 states/eV per atom. Number 13: DOS(E_F) 0.995 states/eV per atom.